# PBE TiNiAs2Se, relaxed
data_TiNiAs2Se
_symmetry_space_group_name_H-M 'P 1'
_symmetry_Int_Tables_number 1
_symmetry_space_group_name_Hall 'P 1'
_cell_length_a 4.8545
_cell_length_b 4.8545
_cell_length_c 4.8298
_cell_angle_alpha 90.00
_cell_angle_beta 90.00
_cell_angle_gamma 90.00
loop_
_atom_site_label
_atom_site_fract_x
_atom_site_fract_y
_atom_site_fract_z
Ti1 0.0000 0.0000 0.0000
Ni1 0.5000 0.5000 0.5000
As1 0.0000 0.5000 0.0000
As2 0.5000 0.0000 0.0000
Se1 0.0000 0.0000 0.5000
# - energy (eV/atom) = -4.83
# - total magnetization (μB/f.u.) = 0.59
# - density of states at the Fermi level (states/eV/cell) = 6.0
# - distance to the lowest polymorph of the same formula (meV/atom) = 148
# - energy relative to the elements, uncorrected (eV/atom) = 0.4628